Record 1
DFT (PBE) results for a relaxed Li2LaAu6 crystal.

a b c (Å): 5.5619 5.5619 7.6263
angles (deg): 90.00 90.00 120.00
Sites, in units of the cell vectors:
Li1 0.3333 0.6667 0.0000
Li2 0.6667 0.3333 0.0000
La1 0.0000 0.0000 0.5000
Au1 0.0000 0.5000 0.2882
Au2 0.0000 0.5000 0.7118
Au3 0.5000 0.0000 0.2882
Au4 0.5000 0.0000 0.7118
Au5 0.5000 0.5000 0.2882
Au6 0.5000 0.5000 0.7118

Output
calculated total energy = -32.48 eV per formula unit
ΔE_f = -0.451 eV per atom

***

Record 2
DFT (PBE) results for a relaxed Li2LaAu crystal.

a b c (Å): 3.8143 5.2158 4.8185
angles (deg): 90.00 93.66 90.00
Sites, in units of the cell vectors:
Li1 0.1709 0.0000 0.2936
Li2 0.8291 0.0000 0.7064
La1 0.5000 0.5000 0.0000
Au1 0.0000 0.5000 0.5000

Output
calculated total energy = -13.21 eV per formula unit
ΔE_f = -0.295 eV per atom

***

Record 3
DFT (PBE) results for a relaxed LiLaAu2 crystal.

a b c (Å): 8.8367 8.8367 8.8367
angles (deg): 146.55 146.55 48.03
Sites, in units of the cell vectors:
Li1 0.0000 0.0000 0.0000
Li2 0.7500 0.2500 0.5000
La1 0.2500 0.7500 0.5000
La2 0.5000 0.5000 0.0000
Au1 0.3750 0.2487 0.3737
Au2 0.7513 0.1250 0.1263
Au3 0.8750 0.0013 0.6263
Au4 0.9987 0.6250 0.8737

Output
calculated total energy = -14.92 eV per formula unit
ΔE_f = -0.381 eV per atom